1.
LaPtRh2: relaxed, PBE-GGA.

Lattice parameters (Å, degrees): 3.0651 3.9221 6.0851 90.00 90.00 90.00
Closest atoms and distances in Å follow each position.
Space group Pmmm (No. 47)
Asymmetric unit:
La1 0.0000 0.0000 0.0000 (multiplicity 1)  8 Rh 3.02, 2 Pt 3.04, 2 La 3.07
Pt1 0.0000 0.0000 0.5000 (multiplicity 1)  8 Rh 2.82, 2 La 3.04, 2 Pt 3.07
Rh1 0.5000 0.5000 0.2817 (multiplicity 2)  1 Rh 2.66, 4 Pt 2.82

The magnetic moment is 0.000 μB per atom. The formation energy comes out at -0.260 eV/atom. The total DFT energy (no corrections) comes out at -6.678 eV/atom.

***

2.
YHfC3: relaxed, PBE-GGA.

Lattice parameters (Å, degrees): 4.2381 4.2381 4.2381 90.00 90.00 90.00
Closest atoms and distances in Å follow each position.
Space group Pm-3m (No. 221)
Asymmetric unit:
Y1 0.0000 0.0000 0.0000 (multiplicity 1)  12 C 3.00
Hf1 0.5000 0.5000 0.5000 (multiplicity 1)  6 C 2.12
C1 0.0000 0.5000 0.5000 (multiplicity 3)  2 Hf 2.12

The magnetic moment is 0.000 μB per atom. The calculation puts the energy above the lowest structure with this stoichiometry at 0.000 eV per atom. The formation energy comes out at 0.914 eV/atom. The total DFT energy (no corrections) comes out at -7.904 eV/atom.